The following is a DFT calculation (PBE+U) of a geometry-optimized LiNi2IrO4 structure.

total energy = -5.388 eV/atom
crystal system = monoclinic

a = 5.746 Å, b = 5.746 Å, c = 6.770 Å
α = 117.75°, β = 117.75°, γ = 92.53°
Site moments in Bohr magnetons follow the coordinates.
Fractional positions:
Ir  0.000  0.000  0.000  1.25
Ir  0.500  0.500  0.500  1.25
O  0.279  0.754  0.539  0.23
O  0.676  0.688  0.390  0.17
O  0.812  0.824  0.110  0.17
O  0.746  0.221  0.961  0.23
O  0.188  0.176  0.890  0.17
O  0.324  0.312  0.610  0.17
O  0.721  0.246  0.461  0.23
O  0.254  0.779  0.039  0.23
Li  0.000  0.500  0.000  0.01
Li  0.000  0.500  0.500  0.01
Ni  0.500  0.000  0.000  1.77
Ni  0.000  0.000  0.500  1.76
Ni  0.500  0.000  0.500  1.77
Ni  0.500  0.500  0.000  1.76